No. 1
{"formula": "Cs5PdI6", "functional": "PBE-GGA", "state": "relaxed", "formation_energy_uncorrected_ev_per_fu": -14.13, "cell": [[4.659, -8.158, 0.000], [4.659, 8.158, 0.000], [-3.113, 0.000, 8.739]], "species": ["Cs", "Cs", "Cs", "Cs", "Cs", "Pd", "I", "I", "I", "I", "I", "I"], "fractional_positions": [[0.000, 0.000, 0.000], [0.171, 0.829, 0.500], [0.334, 0.666, 0.000], [0.666, 0.334, 0.000], [0.829, 0.171, 0.500], [0.500, 0.500, 0.500], [0.093, 0.413, 0.251], [0.320, 0.320, 0.675], [0.413, 0.093, 0.251], [0.587, 0.907, 0.749], [0.680, 0.680, 0.325], [0.907, 0.587, 0.749]]}


No. 2
{"formula": "NaTl2Au2", "functional": "PBE-GGA", "state": "relaxed", "polymorph_energy_mev_per_atom": 0, "cell": [[5.703, 0.000, 0.000], [0.000, 4.564, 0.000], [-1.998, 0.000, 10.336]], "species": ["Na", "Na", "Tl", "Tl", "Tl", "Tl", "Au", "Au", "Au", "Au"], "fractional_positions": [[0.106, 0.250, 0.277], [0.894, 0.750, 0.723], [0.234, 0.250, 0.939], [0.408, 0.250, 0.622], [0.592, 0.750, 0.378], [0.766, 0.750, 0.061], [0.145, 0.750, 0.486], [0.288, 0.750, 0.121], [0.712, 0.250, 0.879], [0.855, 0.250, 0.514]]}


No. 3
{"formula": "NdThNbN4", "functional": "PBE-GGA", "state": "relaxed", "formation_energy_uncorrected_ev_per_fu": -8.77, "cell": [[2.877, -6.304, 0.000], [2.877, 6.304, 0.000], [0.000, 0.000, 5.722]], "species": ["Nd", "Nd", "Th", "Th", "Nb", "Nb", "N", "N", "N", "N", "N", "N", "N", "N"], "fractional_positions": [[0.109, 0.891, 0.750], [0.891, 0.109, 0.250], [0.394, 0.606, 0.750], [0.606, 0.394, 0.250], [0.238, 0.762, 0.250], [0.762, 0.238, 0.750], [0.000, 0.500, 0.000], [0.000, 0.500, 0.500], [0.078, 0.922, 0.250], [0.429, 0.571, 0.250], [0.500, 0.000, 0.000], [0.500, 0.000, 0.500], [0.571, 0.429, 0.750], [0.922, 0.078, 0.750]]}


No. 4
{"formula": "CdRuRh2", "functional": "PBE-GGA", "state": "relaxed", "dft_energy_ev_per_atom": -5.967, "cell": [[4.011, 0.000, 0.000], [0.000, 4.011, 0.000], [0.000, 0.000, 3.839]], "species": ["Cd", "Ru", "Rh", "Rh"], "fractional_positions": [[0.000, 0.000, 0.000], [0.500, 0.500, 0.000], [0.000, 0.500, 0.500], [0.500, 0.000, 0.500]]}


No. 5
{"formula": "BaPmRh2", "functional": "PBE-GGA", "state": "relaxed", "polymorph_energy_mev_per_atom": 66, "cell": [[2.348, 1.355, 5.856], [-2.348, 1.355, 5.856], [0.000, -2.711, 5.856]], "species": ["Ba", "Pm", "Rh", "Rh"], "fractional_positions": [[0.000, 0.000, 0.000], [0.500, 0.500, 0.500], [0.202, 0.202, 0.202], [0.798, 0.798, 0.798]]}


No. 6
{"formula": "Ac3Co4Ge4", "functional": "PBE-GGA", "state": "relaxed", "dft_energy_ev_per_atom": -5.854, "cell": [[12.446, -2.180, 0.000], [12.446, 2.180, 0.000], [-0.717, 0.000, 4.170]], "species": ["Ac", "Ac", "Ac", "Co", "Co", "Co", "Co", "Ge", "Ge", "Ge", "Ge"], "fractional_positions": [[0.000, 0.000, 0.000], [0.151, 0.151, 0.651], [0.849, 0.849, 0.349], [0.249, 0.249, 0.249], [0.399, 0.399, 0.899], [0.601, 0.601, 0.101], [0.751, 0.751, 0.751], [0.297, 0.297, 0.797], [0.446, 0.446, 0.446], [0.554, 0.554, 0.554], [0.703, 0.703, 0.203]]}